The following is a PBE-GGA calculation of crystalline LiCa3Pt at its relaxed geometry, from the Alexandria database.

Computed properties:
Calculated volume: 28.72 A^3/atom
Calculated density: 3.7 g cm⁻³
DFT total energy: -3.25 eV/atom
ΔE to the lowest computed polymorph: 0.00 eV/f.u.
Energy of formation: -0.4587 eV/atom

abc: 4.5132 9.1668 6.9418
angles: 90.00 90.00 90.00
Space group Pmmn (No. 59, origin choice 2)
One atom of each set of equivalent atoms:
Li 0.2500 0.2500 0.1010 [2 per cell]
Ca 0.2500 0.5534 0.6932 [4 per cell]
Ca 0.2500 0.7500 0.2389 [2 per cell]
Pt 0.2500 0.2500 0.4825 [2 per cell]